Below is an optimized crystal structure of CsRb3Tl2F6, with properties calculated at the PBE-GGA level.

Geometry as POSCAR:
```
CsRb3Tl2F6
1.0
8.961 -2.038 0.000
8.961 2.038 0.000
-1.915 0.000 7.964
Cs Rb Tl F
1 3 2 6
Direct
0.000 0.000 0.000
0.000 0.000 0.500
0.332 0.332 0.168
0.668 0.668 0.832
0.329 0.329 0.664
0.671 0.671 0.336
0.172 0.172 0.089
0.174 0.174 0.585
0.495 0.495 0.262
0.505 0.505 0.738
0.826 0.826 0.415
0.828 0.828 0.911
```

Summary:
ΔE_f (raw)	-2.35	eV per atom


Below is an optimized crystal structure of Ba4Pu3AgO12, with properties calculated at the PBE-GGA level.

Geometry as POSCAR:
```
Ba4Pu3AgO12
1.0
-4.387 4.387 4.387
4.387 -4.387 4.387
4.387 4.387 -4.387
Ba Pu Ag O
4 3 1 12
Direct
0.000 0.000 0.500
0.000 0.500 0.000
0.500 0.000 0.000
0.500 0.500 0.500
0.000 0.500 0.500
0.500 0.000 0.500
0.500 0.500 0.000
0.000 0.000 0.000
0.000 0.272 0.272
0.000 0.728 0.728
0.250 0.500 0.750
0.250 0.750 0.500
0.272 0.000 0.272
0.272 0.272 0.000
0.500 0.250 0.750
0.500 0.750 0.250
0.728 0.000 0.728
0.728 0.728 0.000
0.750 0.250 0.500
0.750 0.500 0.250
```

Summary:
ΔE_f (raw)	-2.54	eV per atom


Below is an optimized crystal structure of P2RuNO, with properties calculated at the PBE-GGA level.

Geometry as POSCAR:
```
P2RuNO
1.0
3.883 0.000 0.000
1.621 3.758 0.000
0.707 0.544 4.278
P Ru N O
2 1 1 1
Direct
0.000 0.000 0.000
0.461 0.455 0.463
0.580 0.903 0.715
0.054 0.760 0.357
0.733 0.408 0.111
```

Summary:
relative energy among the computed polymorphs	70	meV per atom
ΔE_f (raw)	-0.53	eV per atom


Below is an optimized crystal structure of In2Bi2O7, with properties calculated at the PBE-GGA level.

Geometry as POSCAR:
```
In2Bi2O7
1.0
3.529 -4.723 0.000
3.529 4.723 0.000
-1.027 0.000 5.807
In Bi O
2 2 7
Direct
0.190 0.810 0.000
0.810 0.190 0.000
0.240 0.240 0.612
0.760 0.760 0.388
0.048 0.048 0.248
0.078 0.451 0.817
0.451 0.078 0.817
0.500 0.500 0.500
0.549 0.922 0.183
0.922 0.549 0.183
0.952 0.952 0.752
```

Summary:
relative energy among the computed polymorphs	71	meV per atom
ΔE_f (raw)	-1.11	eV per atom


Below is an optimized crystal structure of Pr6Si2O, with properties calculated at the PBE-GGA level.

Geometry as POSCAR:
```
Pr6Si2O
1.0
6.547 0.000 0.000
0.000 7.959 0.000
-6.252 0.000 9.479
Pr Si O
12 4 2
Direct
0.111 0.164 0.447
0.111 0.336 0.947
0.304 0.708 0.442
0.304 0.792 0.942
0.368 0.035 0.243
0.368 0.465 0.743
0.632 0.535 0.257
0.632 0.965 0.757
0.696 0.208 0.058
0.696 0.292 0.558
0.889 0.664 0.053
0.889 0.836 0.553
0.197 0.113 0.756
0.197 0.387 0.256
0.803 0.613 0.744
0.803 0.887 0.244
0.500 0.000 0.500
0.500 0.500 0.000
```

Summary:
ΔE_f (raw)	-0.90	eV per atom


Below is an optimized crystal structure of PbCl, with properties calculated at the PBE-GGA level.

Geometry as POSCAR:
```
PbCl
1.0
8.537 0.000 0.000
0.000 8.537 0.000
0.000 0.000 8.537
Pb Cl
6 6
Direct
0.000 0.250 0.500
0.000 0.750 0.500
0.250 0.500 0.000
0.500 0.000 0.250
0.500 0.000 0.750
0.750 0.500 0.000
0.000 0.500 0.250
0.000 0.500 0.750
0.250 0.000 0.500
0.500 0.250 0.000
0.500 0.750 0.000
0.750 0.000 0.500
```

Summary:
ΔE_f (raw)	-0.14	eV per atom


Below is an optimized crystal structure of HfSiN3, with properties calculated at the PBE-GGA level.

Geometry as POSCAR:
```
HfSiN3
1.0
4.164 0.000 0.000
0.000 4.164 0.000
0.000 0.000 4.164
Hf Si N
1 1 3
Direct
0.000 0.000 0.000
0.500 0.500 0.500
0.000 0.000 0.500
0.000 0.500 0.000
0.500 0.000 0.000
```

Summary:
ΔE_f (raw)	0.87	eV per atom


Below is an optimized crystal structure of MgReBr, with properties calculated at the PBE-GGA level.

Geometry as POSCAR:
```
MgReBr
1.0
-1.554 1.554 6.052
1.554 -1.554 6.052
1.554 1.554 -6.052
Mg Re Br
1 1 1
Direct
0.000 0.000 0.000
0.355 0.355 0.000
0.727 0.727 0.000
```

Summary:
relative energy among the computed polymorphs	945	meV per atom
ΔE_f (raw)	0.71	eV per atom


Below is an optimized crystal structure of SmHo2InN, with properties calculated at the PBE-GGA level.

Geometry as POSCAR:
```
SmHo2InN
1.0
4.801 0.000 0.000
0.000 4.801 0.000
0.000 0.000 4.949
Sm Ho In N
1 2 1 1
Direct
0.000 0.000 0.000
0.000 0.500 0.500
0.500 0.000 0.500
0.500 0.500 0.000
0.000 0.000 0.500
```

Summary:
ΔE_f (raw)	-0.97	eV per atom


Below is an optimized crystal structure of Ag8Sn3Hg2, with properties calculated at the PBE-GGA level.

Geometry as POSCAR:
```
Ag8Sn3Hg2
1.0
2.812 1.623 10.424
-2.812 1.623 10.424
0.000 -3.247 10.424
Ag Sn Hg
8 3 2
Direct
0.229 0.229 0.229
0.231 0.231 0.730
0.231 0.730 0.231
0.270 0.769 0.769
0.730 0.231 0.231
0.769 0.270 0.769
0.769 0.769 0.270
0.771 0.771 0.771
0.317 0.317 0.317
0.500 0.500 0.500
0.683 0.683 0.683
0.141 0.141 0.141
0.859 0.859 0.859
```

Summary:
E_form	0.124	eV per atom


Below is an optimized crystal structure of FeSiRu2, with properties calculated at the PBE-GGA level.

Geometry as POSCAR:
```
FeSiRu2
1.0
1.354 0.782 8.102
-1.354 0.782 8.102
0.000 -1.564 8.102
Fe Si Ru
1 1 2
Direct
0.000 0.000 0.000
0.743 0.743 0.743
0.249 0.249 0.249
0.491 0.491 0.491
```

Summary:
ΔE_f (raw)	-0.05	eV per atom


Below is an optimized crystal structure of CaGdAu, with properties calculated at the PBE-GGA level.

Geometry as POSCAR:
```
CaGdAu
1.0
-1.835 1.835 6.481
1.835 -1.835 6.481
1.835 1.835 -6.481
Ca Gd Au
1 1 1
Direct
0.000 0.000 0.000
0.270 0.270 0.000
0.648 0.648 0.000
```

Summary:
E_form	-0.525	eV per atom
relative energy among the computed polymorphs	0	meV per atom